1.
VASP calculation (GGA-PBE) on crystalline Er3Pu at its relaxed geometry.

Calculated values
relative energy among the computed polymorphs	0	meV per atom
DFT formation energy	0.29	eV/f.u.
space group	No. 44

Lattice parameters (Å, degrees): 6.6209 6.6209 6.6209 149.55 63.98 125.21
Closest atoms and distances in Å follow each position.
Fractional positions:
Er1 0.0000 0.0000 0.0000  8 Er 3.45-3.48, 4 Pu 3.47-3.54
Er2 0.0882 0.3358 0.7524  3 Pu 3.44-3.47, 9 Er 3.45-3.51
Er3 0.5834 0.3358 0.2476  3 Pu 3.44-3.47, 9 Er 3.45-3.51
Pu1 0.5065 0.0065 0.5000  10 Er 3.44-3.54, 2 Pu 3.48

2.
VASP calculation (GGA-PBE) on crystalline Er8Pu at its relaxed geometry.

Calculated values
DFT formation energy	0.41	eV/f.u.
space group	No. 139

Lattice parameters (Å, degrees): 7.8013 7.8013 7.8013 95.75 95.75 143.11
Closest atoms and distances in Å follow each position.
Fractional positions:
Er1 0.0000 0.3317 0.3317  1 Pu 3.47, 11 Er 3.48-3.52
Er2 0.0000 0.6683 0.6683  1 Pu 3.47, 11 Er 3.48-3.52
Er3 0.3317 0.0000 0.3317  1 Pu 3.47, 11 Er 3.48-3.52
Er4 0.3353 0.3353 0.6706  10 Er 3.45-3.53, 2 Pu 3.47
Er5 0.3353 0.6647 0.0000  10 Er 3.45-3.53, 2 Pu 3.47
Er6 0.6647 0.3353 0.0000  10 Er 3.45-3.53, 2 Pu 3.47
Er7 0.6647 0.6647 0.3294  10 Er 3.45-3.53, 2 Pu 3.47
Er8 0.6683 0.0000 0.6683  1 Pu 3.47, 11 Er 3.48-3.52
Pu1 0.0000 0.0000 0.0000  12 Er 3.47

3.
VASP calculation (GGA-PBE) on crystalline Er4Pu at its relaxed geometry.

Calculated values
relative energy among the computed polymorphs	0	meV per atom
DFT formation energy	0.35	eV/f.u.
space group	No. 12

Lattice parameters (Å, degrees): 3.4974 3.4974 14.2160 97.10 97.10 60.04
Closest atoms and distances in Å follow each position.
Fractional positions:
Er1 0.1009 0.1009 0.3033  3 Pu 3.43, 9 Er 3.48-3.50
Er2 0.3671 0.3671 0.1020  12 Er 3.48-3.51
Er3 0.6329 0.6329 0.8980  12 Er 3.48-3.51
Er4 0.8991 0.8991 0.6967  3 Pu 3.43, 9 Er 3.48-3.50
Pu1 0.5000 0.5000 0.5000  6 Er 3.43, 6 Pu 3.50

4.
VASP calculation (GGA-PBE) on crystalline Er4Pu at its relaxed geometry.

Calculated values
relative energy among the computed polymorphs	487	meV per atom
DFT formation energy	2.79	eV/f.u.
space group	No. 221

Lattice parameters (Å, degrees): 5.4763 5.4763 5.4763 90.00 90.00 90.00
Closest atoms and distances in Å follow each position.
Fractional positions:
Er1 0.0000 0.0000 0.0000  12 Er 3.87
Er2 0.0000 0.5000 0.5000  2 Pu 2.74
Er3 0.5000 0.0000 0.5000  2 Pu 2.74
Er4 0.5000 0.5000 0.0000  2 Pu 2.74
Pu1 0.5000 0.5000 0.5000  6 Er 2.74

5.
VASP calculation (GGA-PBE) on crystalline Rb3Er3PuS8 at its relaxed geometry.

Calculated values
final energy	-6.034	eV per atom
space group	No. 166

Lattice parameters (Å, degrees): 9.0782 9.0782 9.0782 52.45 52.45 52.45
Closest atoms and distances in Å follow each position.
Fractional positions:
Rb1 0.0000 0.5000 0.5000  6 S 3.36-3.37
Rb2 0.5000 0.0000 0.5000  6 S 3.36-3.37
Rb3 0.5000 0.5000 0.0000  6 S 3.36-3.37
Er1 0.0000 0.0000 0.5000  6 S 2.74
Er2 0.0000 0.5000 0.0000  6 S 2.74
Er3 0.5000 0.0000 0.0000  6 S 2.74
Pu1 0.5000 0.5000 0.5000  6 S 2.71
S1 0.2296 0.2296 0.2296  3 Er 2.74
S2 0.2320 0.7266 0.7266  1 Pu 2.71, 2 Er 2.74
S3 0.2734 0.2734 0.7680  1 Pu 2.71, 2 Er 2.74
S4 0.2734 0.7680 0.2734  1 Pu 2.71, 2 Er 2.74
S5 0.7266 0.2320 0.7266  1 Pu 2.71, 2 Er 2.74
S6 0.7266 0.7266 0.2320  1 Pu 2.71, 2 Er 2.74
S7 0.7680 0.2734 0.2734  1 Pu 2.71, 2 Er 2.74
S8 0.7704 0.7704 0.7704  3 Er 2.74

6.
VASP calculation (GGA-PBE) on crystalline RbEr4PuS8 at its relaxed geometry.

Calculated values
final energy	-6.559	eV per atom
space group	No. 160

Lattice parameters (Å, degrees): 8.2965 8.2965 8.2965 59.15 59.15 59.15
Closest atoms and distances in Å follow each position.
Fractional positions:
Rb1 0.0000 0.0000 0.0000  4 S 2.92
Er1 0.1144 0.6314 0.6314  6 S 2.64-2.89
Er2 0.2521 0.2521 0.2521  4 S 2.65-2.69
Er3 0.6314 0.1144 0.6314  6 S 2.64-2.89
Er4 0.6314 0.6314 0.1144  6 S 2.64-2.89
Pu1 0.6302 0.6302 0.6302  6 S 2.70-2.93
S1 0.3793 0.3793 0.8570  3 Er 2.65-2.86, 1 Pu 2.93
S2 0.3793 0.8570 0.3793  3 Er 2.65-2.86, 1 Pu 2.93
S3 0.3835 0.3835 0.3835  4 Er 2.69-2.89
S4 0.4356 0.8596 0.8596  2 Er 2.64, 1 Pu 2.70, 1 Rb 2.92
S5 0.8570 0.3793 0.3793  3 Er 2.65-2.86, 1 Pu 2.93
S6 0.8574 0.8574 0.8574  3 Er 2.64, 1 Rb 2.92
S7 0.8596 0.4356 0.8596  2 Er 2.64, 1 Pu 2.70, 1 Rb 2.92
S8 0.8596 0.8596 0.4356  2 Er 2.64, 1 Pu 2.70, 1 Rb 2.92

7.
VASP calculation (GGA-PBE) on crystalline Rb3ErPu3S8 at its relaxed geometry.

Calculated values
final energy	-7.175	eV per atom
space group	No. 12

Lattice parameters (Å, degrees): 8.0933 8.0933 7.9394 90.12 90.12 60.04
Closest atoms and distances in Å follow each position.
Fractional positions:
Rb1 0.0000 0.0000 0.0000  6 S 3.40-3.43
Rb2 0.0000 0.5000 0.0000  6 S 3.40-3.44
Rb3 0.5000 0.0000 0.0000  6 S 3.40-3.44
Er1 0.0000 0.0000 0.5000  6 S 2.73-2.76
Pu1 0.0000 0.5000 0.5000  6 S 2.73-2.78
Pu2 0.5000 0.0000 0.5000  6 S 2.73-2.78
Pu3 0.5000 0.5000 0.5000  6 S 2.76-2.77
S1 0.1634 0.6694 0.6818  1 Er 2.73, 2 Pu 2.74-2.77
S2 0.1659 0.1659 0.6884  1 Er 2.76, 2 Pu 2.78
S3 0.3306 0.8366 0.3182  1 Er 2.73, 2 Pu 2.74-2.77
S4 0.3316 0.3316 0.3197  3 Pu 2.73-2.76
S5 0.6684 0.6684 0.6803  3 Pu 2.73-2.76
S6 0.6694 0.1634 0.6818  1 Er 2.73, 2 Pu 2.74-2.77
S7 0.8341 0.8341 0.3116  1 Er 2.76, 2 Pu 2.78
S8 0.8366 0.3306 0.3182  1 Er 2.73, 2 Pu 2.74-2.77

8.
VASP calculation (GGA-PBE) on crystalline Rb4ErPu3Se8 at its relaxed geometry.

Calculated values
final energy	-6.467	eV per atom
space group	No. 166

Lattice parameters (Å, degrees): 9.3755 9.3755 9.3755 54.53 54.53 54.53
Closest atoms and distances in Å follow each position.
Fractional positions:
Rb1 0.0000 0.0000 0.0000  6 Se 3.50
Rb2 0.0000 0.5000 0.5000  6 Se 3.46-3.48
Rb3 0.5000 0.0000 0.5000  6 Se 3.46-3.48
Rb4 0.5000 0.5000 0.0000  6 Se 3.46-3.48
Er1 0.5000 0.5000 0.5000  6 Se 2.89
Pu1 0.0000 0.0000 0.5000  6 Se 2.92-2.94
Pu2 0.0000 0.5000 0.0000  6 Se 2.92-2.94
Pu3 0.5000 0.0000 0.0000  6 Se 2.92-2.94
Se1 0.2312 0.2312 0.2312  3 Pu 2.92
Se2 0.2367 0.7289 0.7289  1 Er 2.89, 2 Pu 2.94
Se3 0.2711 0.2711 0.7633  1 Er 2.89, 2 Pu 2.94
Se4 0.2711 0.7633 0.2711  1 Er 2.89, 2 Pu 2.94
Se5 0.7289 0.2367 0.7289  1 Er 2.89, 2 Pu 2.94
Se6 0.7289 0.7289 0.2367  1 Er 2.89, 2 Pu 2.94
Se7 0.7633 0.2711 0.2711  1 Er 2.89, 2 Pu 2.94
Se8 0.7688 0.7688 0.7688  3 Pu 2.92

9.
VASP calculation (GGA-PBE) on crystalline Rb2ErPu2Se6 at its relaxed geometry.

Calculated values
final energy	-6.614	eV per atom
space group	No. 12

Lattice parameters (Å, degrees): 7.2561 7.2561 8.5023 98.13 98.13 120.00
Closest atoms and distances in Å follow each position.
Fractional positions:
Rb1 0.1663 0.8337 0.0000  6 Se 3.50-3.51
Rb2 0.8337 0.1663 0.0000  6 Se 3.50-3.51
Er1 0.0000 0.0000 0.5000  6 Se 2.86-2.87
Pu1 0.3337 0.6663 0.5000  6 Se 2.87
Pu2 0.6663 0.3337 0.5000  6 Se 2.87
Se1 0.0623 0.3961 0.6894  2 Pu 2.87, 1 Er 2.87
Se2 0.2696 0.2696 0.3105  1 Er 2.86, 2 Pu 2.87
Se3 0.3961 0.0623 0.6894  2 Pu 2.87, 1 Er 2.87
Se4 0.6039 0.9377 0.3106  2 Pu 2.87, 1 Er 2.87
Se5 0.7304 0.7304 0.6895  1 Er 2.86, 2 Pu 2.87
Se6 0.9377 0.6039 0.3106  2 Pu 2.87, 1 Er 2.87

10.
VASP calculation (GGA-PBE) on crystalline Rb3Er3PuSe8 at its relaxed geometry.

Calculated values
final energy	-5.557	eV per atom
space group	No. 12

Lattice parameters (Å, degrees): 8.3377 8.3377 9.4530 116.15 116.15 60.04
Closest atoms and distances in Å follow each position.
Fractional positions:
Rb1 0.0000 0.0000 0.0000  6 Se 3.47-3.48
Rb2 0.0000 0.5000 0.0000  6 Se 3.47-3.48
Rb3 0.5000 0.0000 0.0000  6 Se 3.47-3.48
Er1 0.0000 0.5000 0.5000  6 Se 2.86-2.88
Er2 0.5000 0.0000 0.5000  6 Se 2.86-2.88
Er3 0.5000 0.5000 0.5000  6 Se 2.87
Pu1 0.0000 0.0000 0.5000  6 Se 2.85-2.86
Se1 0.2294 0.2294 0.6901  1 Pu 2.85, 2 Er 2.87
Se2 0.2293 0.7311 0.6903  1 Pu 2.86, 2 Er 2.86-2.87
Se3 0.2694 0.2694 0.3070  3 Er 2.87-2.88
Se4 0.2689 0.7707 0.3097  1 Pu 2.86, 2 Er 2.86-2.87
Se5 0.7311 0.2293 0.6903  1 Pu 2.86, 2 Er 2.86-2.87
Se6 0.7306 0.7306 0.6930  3 Er 2.87-2.88
Se7 0.7707 0.2689 0.3097  1 Pu 2.86, 2 Er 2.86-2.87
Se8 0.7706 0.7706 0.3099  1 Pu 2.85, 2 Er 2.87

11.
VASP calculation (GGA-PBE) on crystalline Rb4Er3PuSe8 at its relaxed geometry.

Calculated values
final energy	-5.383	eV per atom
space group	No. 166

Lattice parameters (Å, degrees): 9.3642 9.3642 9.3642 53.89 53.89 53.89
Closest atoms and distances in Å follow each position.
Fractional positions:
Rb1 0.0000 0.0000 0.0000  6 Se 3.43
Rb2 0.0000 0.5000 0.5000  6 Se 3.46-3.47
Rb3 0.5000 0.0000 0.5000  6 Se 3.46-3.47
Rb4 0.5000 0.5000 0.0000  6 Se 3.46-3.47
Er1 0.0000 0.0000 0.5000  6 Se 2.88-2.90
Er2 0.0000 0.5000 0.0000  6 Se 2.88-2.90
Er3 0.5000 0.0000 0.0000  6 Se 2.88-2.90
Pu1 0.5000 0.5000 0.5000  6 Se 2.94
Se1 0.2256 0.7344 0.7344  2 Er 2.88, 1 Pu 2.94
Se2 0.2313 0.2313 0.2313  3 Er 2.90
Se3 0.2656 0.2656 0.7744  2 Er 2.88, 1 Pu 2.94
Se4 0.2656 0.7744 0.2656  2 Er 2.88, 1 Pu 2.94
Se5 0.7344 0.2256 0.7344  2 Er 2.88, 1 Pu 2.94
Se6 0.7344 0.7344 0.2256  2 Er 2.88, 1 Pu 2.94
Se7 0.7687 0.7687 0.7687  3 Er 2.90
Se8 0.7744 0.2656 0.2656  2 Er 2.88, 1 Pu 2.94

12.
VASP calculation (GGA-PBE) on crystalline Rb3Er3PuTe8 at its relaxed geometry.

Calculated values
final energy	-4.987	eV per atom
space group	No. 166

Lattice parameters (Å, degrees): 10.1102 10.1102 10.1102 52.18 52.18 52.18
Closest atoms and distances in Å follow each position.
Fractional positions:
Rb1 0.0000 0.5000 0.5000  6 Te 3.68-3.70
Rb2 0.5000 0.0000 0.5000  6 Te 3.68-3.70
Rb3 0.5000 0.5000 0.0000  6 Te 3.68-3.70
Er1 0.0000 0.0000 0.5000  6 Te 3.07-3.09
Er2 0.0000 0.5000 0.0000  6 Te 3.07-3.09
Er3 0.5000 0.0000 0.0000  6 Te 3.07-3.09
Pu1 0.5000 0.5000 0.5000  6 Te 3.10
Te1 0.2295 0.7332 0.7332  2 Er 3.07, 1 Pu 3.10
Te2 0.2325 0.2325 0.2325  3 Er 3.09
Te3 0.2668 0.2668 0.7705  2 Er 3.07, 1 Pu 3.10
Te4 0.2668 0.7705 0.2668  2 Er 3.07, 1 Pu 3.10
Te5 0.7332 0.2295 0.7332  2 Er 3.07, 1 Pu 3.10
Te6 0.7332 0.7332 0.2295  2 Er 3.07, 1 Pu 3.10
Te7 0.7675 0.7675 0.7675  3 Er 3.09
Te8 0.7705 0.2668 0.2668  2 Er 3.07, 1 Pu 3.10

13.
VASP calculation (GGA-PBE) on crystalline Rb4Er3PuTe8 at its relaxed geometry.

Calculated values
final energy	-4.857	eV per atom
space group	No. 166

Lattice parameters (Å, degrees): 10.0109 10.0109 10.0109 53.84 53.84 53.84
Closest atoms and distances in Å follow each position.
Fractional positions:
Rb1 0.0000 0.0000 0.0000  6 Te 3.64
Rb2 0.0000 0.5000 0.5000  6 Te 3.68-3.69
Rb3 0.5000 0.0000 0.5000  6 Te 3.68-3.69
Rb4 0.5000 0.5000 0.0000  6 Te 3.68-3.69
Er1 0.0000 0.0000 0.5000  6 Te 3.10-3.11
Er2 0.0000 0.5000 0.0000  6 Te 3.10-3.11
Er3 0.5000 0.0000 0.0000  6 Te 3.10-3.11
Pu1 0.5000 0.5000 0.5000  6 Te 3.15
Te1 0.2267 0.7357 0.7357  2 Er 3.10, 1 Pu 3.15
Te2 0.2325 0.2325 0.2325  3 Er 3.11
Te3 0.2643 0.2643 0.7733  2 Er 3.10, 1 Pu 3.15
Te4 0.2643 0.7733 0.2643  2 Er 3.10, 1 Pu 3.15
Te5 0.7357 0.2267 0.7357  2 Er 3.10, 1 Pu 3.15
Te6 0.7357 0.7357 0.2267  2 Er 3.10, 1 Pu 3.15
Te7 0.7675 0.7675 0.7675  3 Er 3.11
Te8 0.7733 0.2643 0.2643  2 Er 3.10, 1 Pu 3.15

14.
VASP calculation (GGA-PBE) on crystalline Rb3Er2PuTe6 at its relaxed geometry.

Calculated values
final energy	-5.035	eV per atom
space group	No. 12

Lattice parameters (Å, degrees): 7.8738 7.8738 8.9195 98.46 98.46 120.00
Closest atoms and distances in Å follow each position.
Fractional positions:
Rb1 0.0000 0.0000 0.0000  6 Te 3.64-3.69
Rb2 0.3346 0.6654 0.0000  6 Te 3.65-3.69
Rb3 0.6654 0.3346 0.0000  6 Te 3.65-3.69
Er1 0.1668 0.8332 0.5000  6 Te 3.10
Er2 0.8332 0.1668 0.5000  6 Te 3.10
Pu1 0.5000 0.5000 0.5000  6 Te 3.16
Te1 0.0942 0.4339 0.3018  2 Er 3.10, 1 Pu 3.16
Te2 0.2262 0.2262 0.6979  2 Er 3.10, 1 Pu 3.16
Te3 0.4339 0.0942 0.3018  2 Er 3.10, 1 Pu 3.16
Te4 0.5661 0.9058 0.6982  2 Er 3.10, 1 Pu 3.16
Te5 0.7738 0.7738 0.3021  2 Er 3.10, 1 Pu 3.16
Te6 0.9058 0.5661 0.6982  2 Er 3.10, 1 Pu 3.16

15.
VASP calculation (GGA-PBE) on crystalline ErPu2Re9 at its relaxed geometry.

Calculated values
DFT formation energy	0.72	eV/f.u.
space group	No. 166

Lattice parameters (Å, degrees): 9.5445 9.5445 9.5445 32.11 32.11 32.11
Closest atoms and distances in Å follow each position.
Fractional positions:
Er1 0.0000 0.0000 0.0000  6 Re 3.05
Pu1 0.1455 0.1455 0.1455  12 Re 3.10-3.22, 3 Pu 3.26
Pu2 0.8545 0.8545 0.8545  12 Re 3.10-3.22, 3 Pu 3.26
Re1 0.0790 0.5847 0.5847  7 Re 2.61-2.75
Re2 0.3347 0.3347 0.3347  6 Re 2.69-2.74
Re3 0.4153 0.4153 0.9210  7 Re 2.61-2.75
Re4 0.4153 0.9210 0.4153  7 Re 2.61-2.75
Re5 0.5000 0.5000 0.5000  6 Re 2.75
Re6 0.5847 0.0790 0.5847  7 Re 2.61-2.75
Re7 0.5847 0.5847 0.0790  7 Re 2.61-2.75
Re8 0.6653 0.6653 0.6653  6 Re 2.69-2.74
Re9 0.9210 0.4153 0.4153  7 Re 2.61-2.75

16.
VASP calculation (GGA-PBE) on crystalline ErPuReRu at its relaxed geometry.

Calculated values
DFT formation energy	-0.02	eV/f.u.
space group	No. 216

Lattice parameters (Å, degrees): 4.7745 4.7745 4.7745 60.00 60.00 60.00
Closest atoms and distances in Å follow each position.
Fractional positions:
Er1 0.0000 0.0000 0.0000  4 Re 2.92, 4 Ru 2.92
Pu1 0.5000 0.5000 0.5000  4 Re 2.92, 4 Ru 2.92
Re1 0.7500 0.7500 0.7500  4 Er 2.92, 4 Pu 2.92
Ru1 0.2500 0.2500 0.2500  4 Er 2.92, 4 Pu 2.92

17.
VASP calculation (GGA-PBE) on crystalline ErPuRh at its relaxed geometry.

Calculated values
relative energy among the computed polymorphs	95	meV per atom
DFT formation energy	-1.14	eV/f.u.
space group	No. 107

Lattice parameters (Å, degrees): 6.4527 6.4527 6.4527 149.10 149.10 44.26
Closest atoms and distances in Å follow each position.
Fractional positions:
Er1 0.0000 0.0000 0.0000  4 Rh 2.91
Pu1 0.7238 0.7238 0.0000  4 Rh 2.97, 1 Er 3.30
Rh1 0.3667 0.3667 0.0000  4 Er 2.91, 4 Pu 2.97

18.
VASP calculation (GGA-PBE) on crystalline Er2PuRh9 at its relaxed geometry.

Calculated values
DFT formation energy	-6.10	eV/f.u.
space group	No. 166

Lattice parameters (Å, degrees): 9.2655 9.2655 9.2655 32.88 32.88 32.88
Closest atoms and distances in Å follow each position.
Fractional positions:
Er1 0.1392 0.1392 0.1392  12 Rh 3.00-3.28, 3 Er 3.36
Er2 0.8608 0.8608 0.8608  12 Rh 3.00-3.28, 3 Er 3.36
Pu1 0.0000 0.0000 0.0000  6 Rh 3.03
Rh1 0.0824 0.5838 0.5838  7 Rh 2.61-2.67
Rh2 0.3333 0.3333 0.3333  6 Rh 2.66-2.67
Rh3 0.4162 0.4162 0.9176  7 Rh 2.61-2.67
Rh4 0.4162 0.9176 0.4162  7 Rh 2.61-2.67
Rh5 0.5000 0.5000 0.5000  6 Rh 2.66
Rh6 0.5838 0.0824 0.5838  7 Rh 2.61-2.67
Rh7 0.5838 0.5838 0.0824  7 Rh 2.61-2.67
Rh8 0.6667 0.6667 0.6667  6 Rh 2.66-2.67
Rh9 0.9176 0.4162 0.4162  7 Rh 2.61-2.67

19.
VASP calculation (GGA-PBE) on crystalline Er2PuRh at its relaxed geometry.

Calculated values
relative energy among the computed polymorphs	0	meV per atom
DFT formation energy	-1.52	eV/f.u.
space group	No. 123

Lattice parameters (Å, degrees): 3.3949 3.3949 8.5664 90.00 90.00 90.00
Closest atoms and distances in Å follow each position.
Fractional positions:
Er1 0.0000 0.0000 0.1947  4 Rh 2.92
Er2 0.0000 0.0000 0.8053  4 Rh 2.92
Pu1 0.5000 0.5000 0.5000  4 Pu 3.39, 8 Er 3.55
Rh1 0.5000 0.5000 0.0000  8 Er 2.92

20.
VASP calculation (GGA-PBE) on crystalline ErPuRh at its relaxed geometry.

Calculated values
relative energy among the computed polymorphs	134	meV per atom
DFT formation energy	-1.02	eV/f.u.
space group	No. 216

Lattice parameters (Å, degrees): 4.7778 4.7778 4.7778 60.00 60.00 60.00
Closest atoms and distances in Å follow each position.
Fractional positions:
Er1 0.0000 0.0000 0.0000  4 Rh 2.93
Pu1 0.5000 0.5000 0.5000  4 Rh 2.93
Rh1 0.2500 0.2500 0.2500  4 Er 2.93, 4 Pu 2.93